## K2NaF (SCAN)

Data for a crystal of K2NaF relaxed with PBEsol.

```
8
Lattice="-3.9927 3.9927 5.3681 3.9927 -3.9927 5.3681 3.9927 3.9927 -5.3681" Properties=species:S:1:pos:R:3 pbc="T T T"
K -0.6202 1.9964 1.3420
K 1.9964 3.3725 4.0261
K 0.6202 5.9891 1.3420
K -1.9964 4.6130 4.0261
Na 3.9927 0.0000 2.6840
Na 0.0000 0.0000 5.3681
F 0.0000 0.0000 0.0000
F 0.0000 3.9927 2.6840
```

Computed properties:
- space group = I-42d (122)
- theoretical density (g/cm3) = 1.2
- formation energy from raw total energies (eV per atom) = -1.35
- V (Å³/atom) = 42.789
- spin magnetization (μB per formula unit) = 0.03

## SnP2O7 (SCAN)

Data for a crystal of SnP2O7 relaxed with PBEsol.

```
20
Lattice="5.1037 0.0000 0.0000 0.1137 6.8013 0.0000 0.1217 3.1377 7.8788" Properties=species:S:1:pos:R:3 pbc="T T T"
Sn 1.2925 2.1821 1.8307
Sn 4.0466 7.7568 6.0482
P 1.3690 2.8653 5.2125
P 1.5527 5.6036 6.4284
P 3.7864 4.3354 1.4505
P 3.9701 7.0736 2.6664
O 0.3344 7.3257 2.3225
O 0.6528 6.6697 5.8221
O 1.0234 5.0059 7.7302
O 1.5655 4.4411 5.3413
O 1.7284 2.5897 3.7698
O 2.4318 8.9878 6.1991
O 2.3363 3.8674 1.3367
O 3.0028 6.0716 6.5422
O 2.9073 0.9511 1.6797
O 3.6107 7.3492 4.1090
O 3.7736 5.4979 2.5376
O 4.3157 4.9331 0.1487
O 4.6863 3.2692 2.0568
O 5.0047 2.6132 5.5563
```

Computed properties:
- space group = P-1 (2)
- theoretical density (g/cm3) = 3.6
- formation energy from raw total energies (eV per atom) = -2.27
- V (Å³/atom) = 13.674
- spin magnetization (μB per formula unit) = 0.00
- relative energy among the computed polymorphs (eV per formula unit) = 0.00